Entry 1:
Material: Rb2H6Au
Method: DFT, PBE-GGA
State: relaxed

Unit cell a=5.3555 b=5.3555 c=11.3926 alpha=90.00 beta=90.00 gamma=90.00
Closest atoms and distances in Å follow each position.
Sites, in units of the cell vectors:
Rb  0.5000  0.5000  0.3348  6 H 2.67-2.85
Rb  0.5000  0.5000  0.6652  6 H 2.67-2.85
Rb  0.0000  0.0000  0.1652  6 H 2.67-2.85
Rb  0.0000  0.0000  0.8348  6 H 2.67-2.85
H  0.6576  0.6576  0.1099  1 Au 1.73
H  0.6576  0.6576  0.8901  1 Au 1.73
H  0.7827  0.7827  0.5000  1 Au 1.65
H  0.7173  0.2827  0.0000  1 Au 1.65
H  0.8424  0.1576  0.3901  1 Au 1.73
H  0.8424  0.1576  0.6099  1 Au 1.73
H  0.1576  0.8424  0.3901  1 Au 1.73
H  0.1576  0.8424  0.6099  1 Au 1.73
H  0.2827  0.7173  0.0000  1 Au 1.65
H  0.2173  0.2173  0.5000  1 Au 1.65
H  0.3424  0.3424  0.1099  1 Au 1.73
H  0.3424  0.3424  0.8901  1 Au 1.73
Au  0.5000  0.5000  0.0000  6 H 1.65-1.73
Au  0.0000  0.0000  0.5000  6 H 1.65-1.73

Space group: No. 136
E (eV per atom): -2.76
ρ (Mg/m³): 3.80

Entry 2:
Material: RbH4Au
Method: DFT, PBE-GGA
State: relaxed

Unit cell a=5.4059 b=4.9986 c=6.7562 alpha=90.00 beta=90.00 gamma=89.73
Closest atoms and distances in Å follow each position.
Sites, in units of the cell vectors:
Rb  0.5000  0.2500  0.2912  6 H 2.71-3.02
Rb  0.5000  0.7500  0.7088  6 H 2.71-3.02
H  0.1807  0.4613  0.0244  2 Au 1.80-1.90, 1 H 2.02
H  0.2263  0.2775  0.6932  1 Au 1.69
H  0.8193  0.0387  0.0244  2 Au 1.80-1.90, 1 H 2.02
H  0.7737  0.7225  0.3068  1 Au 1.69
H  0.7737  0.2225  0.6932  1 Au 1.69
H  0.1807  0.9613  0.9756  2 Au 1.80-1.90, 1 H 2.02
H  0.2263  0.7775  0.3068  1 Au 1.69
H  0.8193  0.5387  0.9756  2 Au 1.80-1.90, 1 H 2.02
Au  0.0000  0.2500  0.8638  4 H 1.69-1.80
Au  0.0000  0.7500  0.1362  4 H 1.69-1.80

Space group: No. 13
E (eV per atom): -2.93
ρ (Mg/m³): 5.21

Entry 3:
Material: Rb5H4Au
Method: DFT, PBE-GGA
State: relaxed

Unit cell a=4.3452 b=7.5832 c=10.0985 alpha=75.97 beta=77.58 gamma=73.35
Closest atoms and distances in Å follow each position.
Sites, in units of the cell vectors:
Rb  0.2078  0.9042  0.6803  5 H 2.97-3.11
Rb  0.7922  0.0958  0.3197  5 H 2.97-3.11
Rb  0.3895  0.3496  0.8715  3 H 2.91-3.10
Rb  0.0000  0.5000  0.5000  6 H 3.02-3.04
Rb  0.6105  0.6504  0.1285  3 H 2.91-3.10
H  0.5985  0.2095  0.5934  6 Rb 2.97-3.11
H  0.1951  0.3900  0.2198  5 Rb 2.91-3.07
H  0.8049  0.6100  0.7802  5 Rb 2.91-3.07
H  0.4015  0.7905  0.4066  6 Rb 2.97-3.11
Au  0.0000  0.0000  0.0000  6 Rb 3.36-3.40

Space group: No. 12
E (eV per atom): -2.32
ρ (Mg/m³): 3.42

Entry 4:
Material: RbH2Au
Method: DFT, PBE-GGA
State: relaxed

Unit cell a=4.8550 b=4.8550 c=5.6435 alpha=64.52 beta=64.52 gamma=60.00
Closest atoms and distances in Å follow each position.
Sites, in units of the cell vectors:
H  0.1128  0.1128  0.6617  1 Au 1.66
H  0.8872  0.8872  0.3383  1 Au 1.66
Au  0.0000  0.0000  0.0000  2 H 1.66
Rb  0.5000  0.5000  0.5000  6 H 2.91

Space group: No. 166
E (eV per atom): -2.99
ρ (Mg/m³): 4.72

Entry 5:
Material: Rb2HAu
Method: DFT, PBE-GGA
State: relaxed

Unit cell a=3.8487 b=3.8487 c=8.0537 alpha=90.00 beta=90.00 gamma=90.00
Closest atoms and distances in Å follow each position.
Sites, in units of the cell vectors:
H  0.5000  0.5000  0.0000  8 Rb 3.25
Au  0.5000  0.5000  0.5000  8 Rb 3.53, 4 Au 3.85
Rb  0.0000  0.0000  0.7786  4 H 3.25, 4 Au 3.53, 1 Rb 3.57
Rb  0.0000  0.0000  0.2214  4 H 3.25, 4 Au 3.53, 1 Rb 3.57

Space group: No. 123
E (eV per atom): -2.31
ρ (Mg/m³): 5.13

Entry 6:
Material: Rb3HAu
Method: DFT, PBE-GGA
State: relaxed

Unit cell a=4.9099 b=8.2365 c=14.1180 alpha=115.35 beta=90.00 gamma=90.00
Closest atoms and distances in Å follow each position.
Sites, in units of the cell vectors:
Rb  0.2500  0.1856  0.9431  3 Au 3.55-3.59
Rb  0.7500  0.8144  0.0569  3 Au 3.55-3.59
Rb  0.2500  0.0000  0.3832  3 H 2.84-2.85
Rb  0.7500  0.0000  0.6168  3 H 2.84-2.85
Rb  0.2500  0.5296  0.7360  1 H 2.76
Rb  0.7500  0.4704  0.2640  1 H 2.76
H  0.2500  0.1663  0.6058  4 Rb 2.76-2.85
H  0.7500  0.8337  0.3942  4 Rb 2.76-2.85
Au  0.2500  0.1467  0.1872  6 Rb 3.44-3.59
Au  0.7500  0.8533  0.8128  6 Rb 3.44-3.59

Space group: No. 11
E (eV per atom): -2.04
ρ (Mg/m³): 2.92